Computed, not measured: a relaxed NbGaCoRe crystal at the PBE level of DFT.

```
data_NbGaCoRe
_chemical_formula_sum 'Nb4 Ga4 Co4 Re4'
_symmetry_space_group_name_H-M 'F -4 3 m'
_symmetry_Int_Tables_number 216
_symmetry_space_group_name_Hall 'F -4 2 3'
_cell_length_a 6.160
_cell_length_b 6.160
_cell_length_c 6.160
_cell_angle_alpha 90.00
_cell_angle_beta 90.00
_cell_angle_gamma 90.00
loop_
_atom_site_label
_atom_site_type_symbol
_atom_site_fract_x
_atom_site_fract_y
_atom_site_fract_z
Nb1 Nb 0.000 0.000 0.000
Ga1 Ga 0.000 0.000 0.500
Co1 Co 0.250 0.250 0.750
Re1 Re 0.250 0.250 0.250
```

Computed properties:
Energy relative to the elements = -106 meV/atom
Total moment = 0.00 μB/f.u.
Electronic total energy = -8.268 eV/atom
Density of states at the Fermi level = 0.83 states/eV/f.u.